ErScIrPb: relaxed, PBE.

Results
electronic total energy	-6.550	eV per atom
magnetization	0.0	μB/f.u.
symmetry	P4mm (99)
calculated formation energy	-0.68	eV per atom
density of states at the Fermi level	1.88	states/eV/cell

Unit cell a=3.3968 b=3.3968 c=7.7680 alpha=90.00 beta=90.00 gamma=90.00
Closest atoms and distances in Å follow each position.
Element x y z (fractional)
Er (0.0000, 0.0000, 0.0000)  4 Ir 2.95, 1 Sc 3.16
Sc (0.0000, 0.0000, 0.5929)  4 Ir 2.80
Ir (0.5000, 0.5000, 0.7791)  4 Sc 2.80, 4 Er 2.95
Pb (0.5000, 0.5000, 0.3128)  4 Sc 3.24, 4 Pb 3.40, 4 Er 3.42, 1 Ir 3.62